[1]
An optimized crystal structure of Al3HgS, computed with PBE.

Computed properties:
- N(E_F): 1.71 states/eV/cell
- Energy relative to the lowest polymorph listed for this composition: 0.204 eV per atom
- E: -2.562 eV per atom
- Energy relative to the elements, uncorrected: 0.57 eV per atom

a = 5.0166 Å, b = 5.0166 Å, c = 5.0166 Å
α = 90.00°, β = 90.00°, γ = 90.00°
Sites, in units of the cell vectors:
S  0.5000  0.5000  0.5000
Hg  0.0000  0.0000  0.0000
Al  0.0000  0.5000  0.0000
Al  0.0000  0.0000  0.5000
Al  0.5000  0.0000  0.0000

[2]
An optimized crystal structure of AlHg2S3, computed with PBE.

Computed properties:
- N(E_F): 5.86 states/eV/cell
- E: -3.171 eV per atom
- Energy relative to the elements, uncorrected: -0.38 eV per atom

a = 6.8683 Å, b = 6.7765 Å, c = 6.7765 Å
α = 110.63°, β = 90.00°, γ = 90.00°
Sites, in units of the cell vectors:
Al  0.0307  0.8542  0.8542
Al  0.5307  0.1458  0.1458
Hg  0.5777  0.7609  0.4913
Hg  0.0777  0.5087  0.2391
Hg  0.5777  0.4913  0.7609
Hg  0.0777  0.2391  0.5087
S  0.9552  0.8660  0.5328
S  0.4552  0.4672  0.1340
S  0.9552  0.5328  0.8660
S  0.4552  0.1340  0.4672
S  0.3615  0.8936  0.8936
S  0.8615  0.1064  0.1064

[3]
An optimized crystal structure of AlHg2S, computed with PBE.

Computed properties:
- N(E_F): 2.76 states/eV/cell
- Energy relative to the lowest polymorph listed for this composition: 0.177 eV per atom
- E: -1.802 eV per atom
- Energy relative to the elements, uncorrected: 0.32 eV per atom

a = 5.0156 Å, b = 5.0156 Å, c = 5.0156 Å
α = 60.00°, β = 60.00°, γ = 60.00°
Sites, in units of the cell vectors:
S  0.5000  0.5000  0.5000
Hg  0.2500  0.2500  0.2500
Hg  0.7500  0.7500  0.7500
Al  0.0000  0.0000  0.0000

[4]
An optimized crystal structure of AlHgS2, computed with PBE.

Computed properties:
- N(E_F): 2.17 states/eV/cell
- Energy relative to the lowest polymorph listed for this composition: 0.053 eV per atom
- E: -3.646 eV per atom
- Energy relative to the elements, uncorrected: -0.57 eV per atom

a = 8.2720 Å, b = 8.2720 Å, c = 8.2720 Å
α = 24.61°, β = 24.61°, γ = 24.61°
Sites, in units of the cell vectors:
S  0.8869  0.8869  0.8869
S  0.1131  0.1131  0.1131
Hg  0.0000  0.0000  0.0000
Al  0.5000  0.5000  0.5000

Magnetic moment / μB per formula unit: 0.00, 0.00, 0.00, 0.00